1.
Compound: SrAs2Pd2
Source: the Open Quantum Materials Database
Functional: PBE
Structure: relaxed

a b c (Å): 6.061 6.061 6.061
angles (deg): 137.54 137.54 61.61
Fractional positions:
Pd  0.750  0.250  0.500
Pd  0.250  0.750  0.500
As  0.377  0.377  0.000
As  0.623  0.623  0.000
Sr  0.000  0.000  0.000

* crystal system: tetragonal
* space-group type: I4/mmm, No. 139
* uncorrected energy: -0.371 Ry/atom



2.
Compound: Sr3As4Pd4
Source: the Open Quantum Materials Database
Functional: PBE
Structure: relaxed

a b c (Å): 4.285 4.365 12.764
angles (deg): 90.00 90.00 90.00
Fractional positions:
Pd  0.000  0.500  0.000
As  0.500  0.500  0.115
Pd  0.500  0.500  0.311
Sr  0.000  0.000  0.201
As  0.500  0.000  0.600
Pd  0.500  0.000  0.000
As  0.500  0.000  0.400
Sr  0.000  0.500  0.500
As  0.500  0.500  0.885
Sr  0.000  0.000  0.799
Pd  0.500  0.500  0.689

* crystal system: orthorhombic
* space-group type: Pmmm, No. 47
* uncorrected energy: -0.362 Ry/atom



3.
Compound: SrAs2Pd2
Source: the Open Quantum Materials Database
Functional: PBE
Structure: relaxed

a b c (Å): 4.233 4.233 7.090
angles (deg): 90.00 90.00 120.00
Fractional positions:
Pd  0.333  0.667  0.629
As  0.333  0.667  0.281
As  0.667  0.333  0.719
Pd  0.667  0.333  0.371
Sr  0.000  0.000  0.000

* crystal system: trigonal
* space-group type: P-3m1, No. 164
* uncorrected energy: -0.364 Ry/atom



4.
Compound: SrAs2Pd3
Source: the Open Quantum Materials Database
Functional: PBE
Structure: relaxed

a b c (Å): 4.153 8.784 10.220
angles (deg): 72.10 90.00 76.33
Fractional positions:
As  0.536  0.927  0.776
Sr  0.000  0.000  0.000
As  0.365  0.270  0.551
Pd  0.681  0.639  0.965
As  0.200  0.599  0.131
Pd  0.630  0.739  0.204
Pd  0.777  0.446  0.607
Pd  0.952  0.097  0.673
Pd  0.319  0.361  0.035
Pd  0.223  0.554  0.393
Sr  0.153  0.695  0.697
Pd  0.048  0.903  0.327
Pd  0.500  0.000  0.500
As  0.800  0.401  0.869
As  0.635  0.730  0.449
Sr  0.847  0.305  0.303
As  0.464  0.073  0.224
Pd  0.370  0.261  0.796

* crystal system: monoclinic
* space-group type: C2/m, No. 12
* uncorrected energy: -0.379 Ry/atom



5.
Compound: TaAsPd2
Source: the Open Quantum Materials Database
Functional: PBE
Structure: relaxed

a b c (Å): 4.484 4.484 4.484
angles (deg): 60.00 60.00 60.00
Fractional positions:
Ta  0.250  0.250  0.250
Pd  0.750  0.750  0.750
Pd  0.000  0.000  0.000
As  0.500  0.500  0.500

* crystal system: cubic
* space-group type: F-43m, No. 216
* uncorrected energy: -0.512 Ry/atom



6.
Compound: TbAs2Pd4
Source: the Open Quantum Materials Database
Functional: PBE
Structure: relaxed

a b c (Å): 7.730 7.730 4.074
angles (deg): 90.00 90.00 90.00
Fractional positions:
As  0.779  0.779  0.500
Pd  0.838  0.587  0.000
Pd  0.662  0.087  0.500
Tb  0.000  0.000  0.000
Pd  0.413  0.162  0.000
Pd  0.913  0.338  0.500
As  0.721  0.279  0.000
Tb  0.500  0.500  0.500
Pd  0.162  0.413  0.000
As  0.279  0.721  0.000
Pd  0.587  0.838  0.000
Pd  0.338  0.913  0.500
As  0.221  0.221  0.500
Pd  0.087  0.662  0.500

* crystal system: tetragonal
* space-group type: P4_2/mnm, No. 136
* uncorrected energy: -0.418 Ry/atom



7.
Compound: TcAs2Pd
Source: the Open Quantum Materials Database
Functional: PBE
Structure: relaxed

a b c (Å): 4.496 4.496 4.496
angles (deg): 60.00 60.00 60.00
Fractional positions:
Pd  0.250  0.250  0.250
As  0.750  0.750  0.750
Tc  0.000  0.000  0.000
As  0.500  0.500  0.500

* crystal system: cubic
* space-group type: F-43m, No. 216
* uncorrected energy: -0.430 Ry/atom



8.
Compound: TeAsPd
Source: the Open Quantum Materials Database
Functional: PBE
Structure: relaxed

a b c (Å): 4.567 4.567 4.567
angles (deg): 60.00 60.00 60.00
Fractional positions:
Te  0.750  0.750  0.750
Pd  0.000  0.000  0.000
As  0.250  0.250  0.250

* crystal system: cubic
* space-group type: F-43m, No. 216
* uncorrected energy: -0.328 Ry/atom



9.
Compound: ZrTe2As2Pd
Source: the Open Quantum Materials Database
Functional: PBE
Structure: relaxed

a b c (Å): 7.207 7.207 7.207
angles (deg): 149.01 135.95 54.83
Fractional positions:
Zr  0.385  0.385  0.000
As  0.755  0.997  0.758
Pd  0.629  0.629  0.000
Te  0.786  0.286  0.500
Te  0.207  0.707  0.500
As  0.239  0.997  0.242

* crystal system: orthorhombic
* space-group type: Imm2, No. 44
* uncorrected energy: -0.389 Ry/atom



10.
Compound: ThAs2Pd4
Source: the Open Quantum Materials Database
Functional: PBE
Structure: relaxed

a b c (Å): 7.743 7.743 4.157
angles (deg): 90.00 90.00 90.00
Fractional positions:
Th  0.000  0.000  0.000
As  0.782  0.782  0.500
Pd  0.406  0.156  0.000
Pd  0.906  0.344  0.500
Th  0.500  0.500  0.500
Pd  0.344  0.906  0.500
Pd  0.844  0.594  0.000
As  0.718  0.282  0.000
Pd  0.156  0.406  0.000
Pd  0.656  0.094  0.500
As  0.218  0.218  0.500
Pd  0.594  0.844  0.000
Pd  0.094  0.656  0.500
As  0.282  0.718  0.000

* crystal system: tetragonal
* space-group type: P4_2/mnm, No. 136
* uncorrected energy: -0.449 Ry/atom



11.
Compound: TlAs5Pd3
Source: the Open Quantum Materials Database
Functional: PBE
Structure: relaxed

a b c (Å): 5.491 5.491 7.376
angles (deg): 90.00 90.00 120.00
Fractional positions:
Pd  0.500  0.000  0.500
Tl  0.000  0.000  0.000
Pd  0.500  0.500  0.500
As  0.000  0.000  0.500
As  0.667  0.333  0.777
Pd  0.000  0.500  0.500
As  0.333  0.667  0.777
As  0.667  0.333  0.223
As  0.333  0.667  0.223

* crystal system: hexagonal
* space-group type: P6/mmm, No. 191
* uncorrected energy: -0.335 Ry/atom



12.
Compound: TlAsPd5
Source: the Open Quantum Materials Database
Functional: PBE
Structure: relaxed

a b c (Å): 4.057 4.057 7.163
angles (deg): 90.00 90.00 90.00
Fractional positions:
Pd  0.000  0.500  0.293
Pd  0.500  0.000  0.707
Pd  0.500  0.000  0.293
As  0.000  0.000  0.500
Pd  0.000  0.500  0.707
Tl  0.500  0.500  0.000
Pd  0.000  0.000  0.000

* crystal system: tetragonal
* space-group type: P4/mmm, No. 123
* uncorrected energy: -0.372 Ry/atom



13.
Compound: Tl3As2Pd3
Source: the Open Quantum Materials Database
Functional: PBE
Structure: relaxed

a b c (Å): 7.269 7.269 7.269
angles (deg): 45.87 45.87 45.87
Fractional positions:
Tl  0.500  0.500  0.500
Pd  0.000  0.500  0.500
As  0.763  0.763  0.763
Tl  0.919  0.919  0.919
Pd  0.500  0.500  0.000
Pd  0.500  0.000  0.500
As  0.237  0.237  0.237
Tl  0.081  0.081  0.081

* crystal system: trigonal
* space-group type: R-3m, No. 166
* uncorrected energy: -0.301 Ry/atom



14.
Compound: TmAsPd2
Source: the Open Quantum Materials Database
Functional: PBE
Structure: relaxed

a b c (Å): 5.317 5.317 5.437
angles (deg): 90.00 90.00 83.00
Fractional positions:
Pd  0.469  0.883  0.750
Tm  0.641  0.359  0.750
Pd  0.883  0.469  0.250
Pd  0.531  0.117  0.250
Tm  0.359  0.641  0.250
As  0.000  0.000  0.000
As  0.000  0.000  0.500
Pd  0.117  0.531  0.750

* crystal system: orthorhombic
* space-group type: Cmcm, No. 63
* uncorrected energy: -0.393 Ry/atom



15.
Compound: UAs2Pd4
Source: the Open Quantum Materials Database
Functional: PBE
Structure: relaxed

a b c (Å): 7.686 7.686 4.099
angles (deg): 90.00 90.00 90.00
Fractional positions:
As  0.284  0.716  0.000
As  0.784  0.784  0.500
U  0.500  0.500  0.500
Pd  0.342  0.907  0.500
As  0.216  0.216  0.500
Pd  0.158  0.407  0.000
Pd  0.407  0.158  0.000
Pd  0.907  0.342  0.500
Pd  0.593  0.842  0.000
Pd  0.658  0.093  0.500
Pd  0.842  0.593  0.000
Pd  0.093  0.658  0.500
U  0.000  0.000  0.000
As  0.716  0.284  0.000

* crystal system: tetragonal
* space-group type: P4_2/mnm, No. 136
* uncorrected energy: -0.469 Ry/atom



16.
Compound: Y2AsPd
Source: the Open Quantum Materials Database
Functional: PBE
Structure: relaxed

a b c (Å): 4.963 4.963 4.963
angles (deg): 60.00 60.00 60.00
Fractional positions:
As  0.500  0.500  0.500
Y  0.000  0.000  0.000
Y  0.750  0.750  0.750
Pd  0.250  0.250  0.250

* crystal system: cubic
* space-group type: F-43m, No. 216
* uncorrected energy: -0.437 Ry/atom



17.
Compound: YAs2Pd3
Source: the Open Quantum Materials Database
Functional: PBE
Structure: relaxed

a b c (Å): 4.310 4.310 6.570
angles (deg): 90.00 90.00 120.00
Fractional positions:
As  0.667  0.333  0.258
Pd  0.000  0.000  0.500
As  0.333  0.667  0.742
Pd  0.667  0.333  0.688
Pd  0.333  0.667  0.312
Y  0.000  0.000  0.000

* crystal system: trigonal
* space-group type: P-3m1, No. 164
* uncorrected energy: -0.437 Ry/atom



18.
Compound: YAsPd2
Source: the Open Quantum Materials Database
Functional: PBE
Structure: relaxed

a b c (Å): 4.705 4.705 4.705
angles (deg): 60.00 60.00 60.00
Fractional positions:
Pd  0.000  0.000  0.000
Y  0.250  0.250  0.250
Pd  0.750  0.750  0.750
As  0.500  0.500  0.500

* crystal system: cubic
* space-group type: F-43m, No. 216
* uncorrected energy: -0.447 Ry/atom



19.
Compound: ZnAsPd
Source: the Open Quantum Materials Database
Functional: PBE
Structure: relaxed

a b c (Å): 7.706 7.706 4.402
angles (deg): 90.00 90.00 157.16
Fractional positions:
Pd  0.637  0.363  0.270
Pd  0.363  0.637  0.770
As  0.187  0.813  0.783
Zn  0.539  0.461  0.765
As  0.813  0.187  0.283
Zn  0.461  0.539  0.265

* crystal system: orthorhombic
* space-group type: Cmc2_1, No. 36
* uncorrected energy: -0.283 Ry/atom



20.
Compound: ZnAsPd2
Source: the Open Quantum Materials Database
Functional: PBE
Structure: relaxed

a b c (Å): 4.470 4.470 4.470
angles (deg): 60.00 60.00 60.00
Fractional positions:
Pd  0.000  0.000  0.000
Pd  0.750  0.750  0.750
Zn  0.250  0.250  0.250
As  0.500  0.500  0.500

* crystal system: cubic
* space-group type: F-43m, No. 216
* uncorrected energy: -0.313 Ry/atom



21.
Compound: Zn2AsPd
Source: the Open Quantum Materials Database
Functional: PBE
Structure: relaxed

a b c (Å): 4.493 4.493 4.493
angles (deg): 60.00 60.00 60.00
Fractional positions:
Zn  0.000  0.000  0.000
Pd  0.250  0.250  0.250
Zn  0.750  0.750  0.750
As  0.500  0.500  0.500

* crystal system: cubic
* space-group type: F-43m, No. 216
* uncorrected energy: -0.231 Ry/atom



22.
Compound: Zr3As2Pd2
Source: the Open Quantum Materials Database
Functional: PBE
Structure: relaxed

a b c (Å): 7.974 7.974 7.974
angles (deg): 33.78 33.78 33.78
Fractional positions:
Zr  0.623  0.623  0.623
As  0.748  0.748  0.748
Zr  0.377  0.377  0.377
Pd  0.013  0.013  0.013
Zr  0.870  0.870  0.870
Pd  0.494  0.494  0.494
As  0.250  0.250  0.250

* crystal system: trigonal
* space-group type: R3m, No. 160
* uncorrected energy: -0.520 Ry/atom



23.
Compound: ZrAsPd3
Source: the Open Quantum Materials Database
Functional: PBE
Structure: relaxed

a b c (Å): 5.633 5.633 5.633
angles (deg): 84.33 84.33 84.33
Fractional positions:
Pd  0.445  0.814  0.093
Pd  0.093  0.445  0.814
Pd  0.956  0.594  0.316
Zr  0.956  0.956  0.956
As  0.208  0.208  0.208
Pd  0.316  0.956  0.594
As  0.708  0.708  0.708
Zr  0.459  0.459  0.459
Pd  0.814  0.093  0.445
Pd  0.594  0.316  0.956

* crystal system: trigonal
* space-group type: R3, No. 146
* uncorrected energy: -0.457 Ry/atom



24.
Compound: Zr3As4Pd4
Source: the Open Quantum Materials Database
Functional: PBE
Structure: relaxed

a b c (Å): 6.130 6.130 7.436
angles (deg): 65.66 65.66 90.00
Fractional positions:
Pd  0.877  0.877  0.750
As  0.500  0.000  0.000
As  0.752  0.752  0.496
Zr  0.250  0.750  0.500
As  0.000  0.500  0.000
Zr  0.500  0.500  0.000
As  0.248  0.248  0.504
Zr  0.750  0.250  0.500
Pd  0.627  0.123  0.250
Pd  0.373  0.373  0.750
Pd  0.123  0.627  0.250

* crystal system: tetragonal
* space-group type: I-42m, No. 121
* uncorrected energy: -0.487 Ry/atom



25.
Compound: Zr3As4Pd4
Source: the Open Quantum Materials Database
Functional: PBE
Structure: relaxed

a b c (Å): 6.646 3.967 7.714
angles (deg): 90.00 90.36 90.00
Fractional positions:
As  0.250  0.750  0.629
Zr  0.536  0.250  0.690
As  0.240  0.250  0.119
Pd  0.642  0.250  0.061
Zr  0.967  0.750  0.182
Zr  0.461  0.750  0.314
Pd  0.856  0.750  0.564
As  0.751  0.250  0.376
As  0.776  0.750  0.878
Pd  0.150  0.250  0.444
Pd  0.368  0.750  0.940

* crystal system: monoclinic
* space-group type: Pm, No. 6
* uncorrected energy: -0.497 Ry/atom